w:
CaPmHg: relaxed, GGA-PBE.

a = 5.225 Å, b = 5.225 Å, c = 5.225 Å
α = 60.00°, β = 60.00°, γ = 60.00°
Sites, in units of the cell vectors:
Ca1 0.500 0.500 0.500
Hg1 0.250 0.250 0.250
Pm1 0.000 0.000 0.000

## Properties
* space-group type: No. 216
* total magnetic moment: 0.00 Bohr magnetons per cell


x:
CaPmHg: relaxed, GGA-PBE.

a = 7.696 Å, b = 8.235 Å, c = 7.696 Å
α = 66.98°, β = 80.61°, γ = 113.02°
Sites, in units of the cell vectors:
Ca1 0.796 0.135 0.460
Ca2 0.911 0.365 0.844
Ca3 0.790 0.635 0.454
Ca4 0.406 0.865 0.339
Hg1 0.070 0.876 0.621
Hg2 0.629 0.376 0.180
Hg3 0.503 0.124 0.806
Hg4 0.444 0.624 0.747
Pm1 0.290 0.330 0.512
Pm2 0.738 0.830 0.960
Pm3 0.210 0.170 0.092
Pm4 0.158 0.670 0.040

## Properties
* space-group type: No. 43
* total magnetic moment: 0.00 Bohr magnetons per cell


Ranking the structures above from most stable to least stable yields x, w.